Here is a relaxed NiPtRh crystal from Alexandria via LeMat-Bulk. Energies are from PBE-GGA.

Output
- theoretical density (Mg/m³) = 14.33
- DOS at the Fermi energy (states/eV per cell) = 10.2
- energy above the most stable polymorph in this dataset (meV/atom) = 0
- M_tot (μB per formula unit) = 1.19

Lattice parameters (Å, degrees): 4.644 4.644 5.371 106.01 106.01 48.49
Sites, in units of the cell vectors:
Ni (0.000, 0.000, 0.000)
Ni (0.665, 0.665, 0.331)
Pt (0.002, 0.002, 0.498)
Pt (0.330, 0.330, 0.165)
Rh (0.335, 0.335, 0.671)
Rh (0.666, 0.666, 0.835)



Here is a relaxed Ce3Zn2 crystal from Alexandria via LeMat-Bulk. Energies are from PBE-GGA.

Output
- theoretical density (Mg/m³) = 7.28
- DOS at the Fermi energy (states/eV per cell) = 14.6
- M_tot (μB per formula unit) = 3.03
- final energy (eV per atom) = -4.046

Lattice parameters (Å, degrees): 5.174 5.174 5.174 74.54 74.54 74.54
Sites, in units of the cell vectors:
Ce (0.000, 0.500, 0.500)
Ce (0.500, 0.000, 0.500)
Ce (0.500, 0.500, 0.000)
Zn (0.110, 0.110, 0.110)
Zn (0.890, 0.890, 0.890)



Here is a relaxed CuAu crystal from Alexandria via LeMat-Bulk. Energies are from PBE-GGA.

Output
- theoretical density (Mg/m³) = 12.99
- DOS at the Fermi energy (states/eV per cell) = 2.4
- M_tot (μB per formula unit) = 0.00
- final energy (eV per atom) = -3.632

Lattice parameters (Å, degrees): 7.245 7.245 4.396 90.00 90.00 120.00
Sites, in units of the cell vectors:
Cu (0.045, 0.226, 0.250)
Cu (0.181, 0.955, 0.250)
Cu (0.226, 0.181, 0.750)
Cu (0.774, 0.819, 0.250)
Cu (0.819, 0.045, 0.750)
Cu (0.955, 0.774, 0.750)
Au (0.091, 0.458, 0.750)
Au (0.367, 0.909, 0.750)
Au (0.458, 0.367, 0.250)
Au (0.542, 0.633, 0.750)
Au (0.633, 0.091, 0.250)
Au (0.909, 0.542, 0.250)



Here is a relaxed PaS2I2 crystal from Alexandria via LeMat-Bulk. Energies are from PBE-GGA.

Output
- theoretical density (Mg/m³) = 4.58
- DOS at the Fermi energy (states/eV per cell) = 6.2
- M_tot (μB per formula unit) = 1.01
- final energy (eV per atom) = -5.185

Lattice parameters (Å, degrees): 7.524 7.524 8.152 96.12 96.12 118.16
Sites, in units of the cell vectors:
Pa (0.139, 0.861, 0.000)
Pa (0.861, 0.139, 0.000)
S (0.082, 0.082, 0.261)
S (0.269, 0.269, 0.112)
S (0.731, 0.731, 0.888)
S (0.918, 0.918, 0.739)
I (0.077, 0.467, 0.769)
I (0.467, 0.077, 0.769)
I (0.533, 0.923, 0.231)
I (0.923, 0.533, 0.231)



Q: What is the formula in the fourth record?
A: PaS2I2



Q: Look up the theoretical density of the first one.
A: 14.33 Mg/m³



Q: Look up the theoretical density of the third one.
A: 12.99 Mg/m³



Please write out number 1 again, unchanged.
Here is a relaxed NiPtRh crystal from Alexandria via LeMat-Bulk. Energies are from PBE-GGA.

Output
- theoretical density (Mg/m³) = 14.33
- DOS at the Fermi energy (states/eV per cell) = 10.2
- energy above the most stable polymorph in this dataset (meV/atom) = 0
- M_tot (μB per formula unit) = 1.19

Lattice parameters (Å, degrees): 4.644 4.644 5.371 106.01 106.01 48.49
Sites, in units of the cell vectors:
Ni (0.000, 0.000, 0.000)
Ni (0.665, 0.665, 0.331)
Pt (0.002, 0.002, 0.498)
Pt (0.330, 0.330, 0.165)
Rh (0.335, 0.335, 0.671)
Rh (0.666, 0.666, 0.835)